Density functional theory data (PBE-GGA) for Ca2TaSbO6 after structural relaxation.

Summary:
Size of the total moment in μB per cell: 0.00
Uncorrected formation energy in eV/atom: -2.5145
Calculated density in Mg/m³: 5.84
ΔE to the lowest computed polymorph in kJ/mol of formula units: 0.0

a b c (Å): 8.0357 5.7104 5.9376
angles (deg): 89.25 90.00 90.00
With the nearest neighbours (Å) after each atom.
Atoms (fractional coordinates):
Sb 0.0000 0.0000 0.5000  6 O 2.17-2.37
Sb 0.5000 0.0000 0.5000  6 O 2.17-2.37
O 0.4435 0.6638 0.7115  1 Ta 1.99
O 0.5565 0.3362 0.2885  1 Ta 1.99
O 0.2500 0.1292 0.5625  2 Sb 2.17, 2 Ca 2.27-2.38
O 0.9435 0.3362 0.2885  1 Ta 1.99
O 0.4431 0.7898 0.1675  1 Ta 1.99
O 0.2500 0.3989 0.0416  2 Ta 2.10
O 0.5569 0.2102 0.8325  1 Ta 1.99
O 0.7500 0.6011 0.9584  2 Ta 2.10
O 0.0565 0.6638 0.7115  1 Ta 1.99
O 0.7500 0.8708 0.4375  2 Sb 2.17, 2 Ca 2.27-2.38
O 0.9431 0.2102 0.8325  1 Ta 1.99
O 0.0569 0.7898 0.1675  1 Ta 1.99
Ta 0.5000 0.5000 0.0000  6 O 1.99-2.10
Ta 0.0000 0.5000 0.0000  6 O 1.99-2.10
Ca 0.7500 0.0064 0.0576  4 O 2.35-2.40
Ca 0.7500 0.4901 0.5533  4 O 2.27-2.50
Ca 0.2500 0.9936 0.9424  4 O 2.35-2.40
Ca 0.2500 0.5099 0.4467  4 O 2.27-2.50